12
Lattice="6.594 -2.969 0.000 6.594 2.969 0.000 -5.186 0.000 7.422" Properties=species:S:1:pos:R:3 comment="PBE-GGA Li4Hg7Bi, optimized geometry" dft_energy_ev_per_fu=-15.4 pbc="T T T"
Li -0.686 0.000 1.510
Li -1.223 0.000 6.064
Li 9.225 0.000 1.358
Li 8.689 0.000 5.912
Hg -2.593 0.000 3.711
Hg 2.118 0.000 0.964
Hg 0.735 0.000 4.060
Hg 5.402 0.000 0.884
Hg 2.601 0.000 6.538
Hg 7.267 0.000 3.362
Hg 5.885 0.000 6.458
Bi 4.001 0.000 3.711